# 1
Entry from the Alexandria database: PmHgSbPt after structural relaxation (PBE).

The structure in POSCAR format:
```
PmHgSbPt
1.0
0.000 3.596 3.596
3.596 0.000 3.596
3.596 3.596 0.000
Pm Hg Sb Pt
1 1 1 1
direct
0.000 0.000 0.000
0.750 0.750 0.750
0.500 0.500 0.500
0.250 0.250 0.250
```

Density of states at the Fermi level in states/eV per atom: 0.16
Formation energy without anion corrections in eV/atom: -0.59
Energy in eV per formula unit: -17.559

# 2
Entry from the Alexandria database: FeCoW2 after structural relaxation (PBE).

The structure in POSCAR format:
```
FeCoW2
1.0
0.000 3.042 3.042
3.042 0.000 3.042
3.042 3.042 0.000
Fe Co W
1 1 2
direct
0.000 0.000 0.000
0.250 0.250 0.250
0.500 0.500 0.500
0.750 0.750 0.750
```

Density of states at the Fermi level in states/eV per atom: 0.93
Energy in eV per formula unit: -40.377

# 3
Entry from the Alexandria database: TaSnS3 after structural relaxation (PBE).

The structure in POSCAR format:
```
TaSnS3
1.0
4.812 0.000 0.000
0.000 4.812 0.000
0.000 0.000 4.812
Ta Sn S
1 1 3
direct
0.000 0.000 0.000
0.500 0.500 0.500
0.000 0.000 0.500
0.000 0.500 0.000
0.500 0.000 0.000
```

Density of states at the Fermi level in states/eV per atom: 0.48
Formation energy without anion corrections in eV/atom: -0.45
Energy in eV per formula unit: -30.482

# 4
Entry from the Alexandria database: Be2H after structural relaxation (PBE).

The structure in POSCAR format:
```
Be2H
1.0
2.137 0.000 0.000
0.000 3.593 0.000
-0.956 -1.763 7.785
Be H
4 2
direct
0.000 0.000 0.000
0.104 0.612 0.234
0.207 0.232 0.467
0.604 0.111 0.234
0.444 0.939 0.875
0.763 0.293 0.592
```

Density of states at the Fermi level in states/eV per atom: 0.11
Energy in eV per formula unit: -10.283